Material: Zn2RePb
Method: DFT, PBE
State: optimized geometry

Calculated values
**Space group**: Immm (71)
**Formation energy from the elements**: 0.590 eV/atom

Cell: 5.4017 5.4017 5.4017 Å, 142.69 132.14 62.21°
Last column: nearest neighbours and their distance in Å.
Element x y z (fractional)
Pb 0.2500 0.7500 0.5000  4 Re 2.79, 8 Zn 3.01-3.07
Re 0.7500 0.2500 0.5000  4 Zn 2.76, 4 Pb 2.79
Zn 0.9832 0.9832 0.0000  2 Re 2.76, 4 Zn 2.81, 4 Pb 3.01-3.07
Zn 0.5168 0.5168 0.0000  2 Re 2.76, 4 Zn 2.81, 4 Pb 3.01-3.07

---

Material: Ta2Te
Method: DFT, PBE
State: optimized geometry

Calculated values
**Formation energy (no corrections)**: 0.326 eV/atom
**Space group**: P-62m (189)

Cell: 7.7501 7.7501 3.3665 Å, 90.00 90.00 120.00°
Last column: nearest neighbours and their distance in Å.
Element x y z (fractional)
Ta 0.2808 0.0000 0.0000  4 Te 2.75-2.81
Ta 0.0000 0.2808 0.0000  4 Te 2.75-2.81
Ta 0.7192 0.7192 0.0000  4 Te 2.75-2.81
Ta 0.6189 0.0000 0.5000  5 Te 2.95, 6 Ta 3.11-3.14
Ta 0.0000 0.6189 0.5000  5 Te 2.95, 6 Ta 3.11-3.14
Ta 0.3811 0.3811 0.5000  5 Te 2.95, 6 Ta 3.11-3.14
Te 0.3333 0.6667 0.0000  9 Ta 2.81-2.95
Te 0.6667 0.3333 0.0000  9 Ta 2.81-2.95
Te 0.0000 0.0000 0.5000  9 Ta 2.75-2.95

---

no.,electronic total energy (eV/atom)
1,-4.086
2,-8.623